The following is a PBE calculation of a relaxed YAsSeBr2 crystal, from Alexandria.

E above lowest polymorph = 0.996 eV/f.u.

Unit cell a=5.3682 b=5.3682 c=6.0583 alpha=90.00 beta=90.00 gamma=90.00
Site moments in Bohr magnetons follow the coordinates.
Element x y z (fractional)
1 Y 0.0000 0.0000 0.0000  0.00
2 As 0.0000 0.0000 0.5000  -0.43
3 Se 0.5000 0.5000 0.5000  0.63
4 Br 0.0000 0.5000 0.0000  0.00
5 Br 0.5000 0.0000 0.0000  0.00

=====

The following is a PBE calculation of a relaxed YAs2SeBr crystal, from Alexandria.

E above lowest polymorph = 0.562 eV/f.u.

Unit cell a=5.5756 b=5.5756 c=5.3143 alpha=90.00 beta=90.00 gamma=90.00
Element x y z (fractional)
1 Y 0.0000 0.0000 0.0000
2 As 0.0000 0.5000 0.0000
3 As 0.5000 0.0000 0.0000
4 Se 0.0000 0.0000 0.5000
5 Br 0.5000 0.5000 0.5000

=====

The following is a PBE calculation of a relaxed YAsSeBr2 crystal, from Alexandria.

E above lowest polymorph = 1.893 eV/f.u.

Unit cell a=5.1590 b=5.1590 c=5.3640 alpha=90.00 beta=90.00 gamma=90.00
Site moments in Bohr magnetons follow the coordinates.
Element x y z (fractional)
1 Y 0.5000 0.5000 0.5000  0.52
2 As 0.0000 0.0000 0.0000  0.00
3 Se 0.0000 0.0000 0.5000  -0.02
4 Br 0.0000 0.5000 0.0000  0.00
5 Br 0.5000 0.0000 0.0000  0.00

=====

The evaluated M_tot for the records listed, in turn: 0.09; 0.00; 0.94 μB per formula unit.